# SrCaYBe2

An optimized crystal structure of SrCaYBe2 (GGA-PBEsol, the Alexandria database).

a = 5.0587 Å, b = 5.0587 Å, c = 5.1557 Å
α = 90.00°, β = 90.00°, γ = 90.00°
Fractional positions:
1 Y 0.5000 0.5000 0.5000
2 Sr 0.0000 0.0000 0.0000
3 Ca 0.0000 0.0000 0.5000
4 Be 0.0000 0.5000 0.0000
5 Be 0.5000 0.0000 0.0000

Computed properties:
Formation enthalpy at 0 K ... 1.4096 eV per atom
Calculated density ... 3.0 g cm⁻³
Magnetization ... 0.000 μB per cell
E_tot ... -2.35 eV/atom
DOS at the Fermi energy ... 0.821 states/eV/atom